Record 1
4
Lattice="1.5339 0.8856 9.8335 -1.5339 0.8856 9.8335 0.0000 -1.7712 9.8335" Properties=species:S:1:pos:R:3 comment="KAl2Os | Alexandria | GGA-PBE | optimized geometry" ef_kj_per_mol_atoms=26.1 polymorph_energy_mev_per_atom=219.6 rho_g_cm3=5.87 magmom_total_mub_per_cell=0.00 spacegroup="R-3m, No. 166" pbc="T T T"
K 0.0000 0.0000 0.0000
Al 0.0000 0.0000 6.7778
Al 0.0000 0.0000 22.7227
Os 0.0000 0.0000 14.7502

***

Record 2
4
Lattice="3.1032 0.0000 0.0000 0.0000 3.1075 0.0000 -0.0134 0.0000 8.5790" Properties=species:S:1:pos:R:3 comment="KAl2Os | Alexandria | GGA-PBE | optimized geometry" ef_kj_per_mol_atoms=4.9 polymorph_energy_mev_per_atom=0.0 rho_g_cm3=5.69 magmom_total_mub_per_cell=0.33 spacegroup="P2/m, No. 10" pbc="T T T"
K 0.0000 0.0000 0.0000
Al 1.5447 1.5538 2.8994
Al 1.5451 1.5538 5.6796
Os -0.0067 0.0000 4.2895

***

Record 3
4
Lattice="3.0612 -4.8050 0.0000 3.0612 4.8050 0.0000 -0.7802 0.0000 2.5557" Properties=species:S:1:pos:R:3 comment="KAl2Os | Alexandria | GGA-PBE | optimized geometry" ef_kj_per_mol_atoms=81.6 polymorph_energy_mev_per_atom=794.8 rho_g_cm3=6.26 magmom_total_mub_per_cell=0.00 spacegroup="C2/m, No. 12" pbc="T T T"
K 0.0000 0.0000 0.0000
Al 1.1405 2.4025 1.2779
Al 1.1405 -2.4025 1.2779
Os 3.0612 0.0000 0.0000

***

Record 4
4
Lattice="4.1158 -1.4870 0.0000 4.1158 1.4870 0.0000 -0.7657 0.0000 7.3164" Properties=species:S:1:pos:R:3 comment="KAl2Os | Alexandria | GGA-PBE | optimized geometry" ef_kj_per_mol_atoms=21.3 polymorph_energy_mev_per_atom=169.7 rho_g_cm3=5.25 magmom_total_mub_per_cell=0.00 spacegroup="C2/m, No. 12" pbc="T T T"
K 0.0000 0.0000 0.0000
Al 1.3556 0.0000 4.7571
Al 6.1102 0.0000 2.5593
Os 3.7329 0.0000 3.6582

***

Record 5
3
Lattice="5.0581 0.0000 0.0000 -2.5291 4.3805 0.0000 0.0000 0.0000 2.6558" Properties=species:S:1:pos:R:3 comment="KAlOs | Alexandria | GGA-PBE | optimized geometry" ef_kj_per_mol_atoms=94.6 polymorph_energy_mev_per_atom=603.5 rho_g_cm3=7.23 magmom_total_mub_per_cell=0.00 spacegroup="P-6m2, No. 187" pbc="T T T"
K 0.0000 0.0000 0.0000
Al 0.0000 2.9203 1.3279
Os 2.5291 1.4602 1.3279

***

Record 6
3
Lattice="-1.4550 1.4550 7.3507 1.4550 -1.4550 7.3507 1.4550 1.4550 -7.3507" Properties=species:S:1:pos:R:3 comment="KAlOs | Alexandria | GGA-PBE | optimized geometry" ef_kj_per_mol_atoms=61.5 polymorph_energy_mev_per_atom=260.3 rho_g_cm3=6.84 magmom_total_mub_per_cell=0.00 spacegroup="I4mm, No. 107" pbc="T T T"
K 0.0000 0.0000 0.0000
Al 0.0000 0.0000 10.4153
Os 0.0000 0.0000 4.6254

***

Record 7
5
Lattice="4.8584 0.0000 0.0000 0.0000 4.8584 0.0000 0.0000 0.0000 4.8584" Properties=species:S:1:pos:R:3 comment="KAl3Os | Alexandria | GGA-PBE | optimized geometry" ef_kj_per_mol_atoms=-18.2 polymorph_energy_mev_per_atom=0.0 rho_g_cm3=4.49 magmom_total_mub_per_cell=0.00 spacegroup="Pm-3m, No. 221" pbc="T T T"
K 0.0000 0.0000 0.0000
Al 0.0000 2.4292 2.4292
Al 2.4292 0.0000 2.4292
Al 2.4292 2.4292 0.0000
Os 2.4292 2.4292 2.4292

***

Record 8
3
Lattice="-1.3899 2.0504 6.1007 1.3899 -2.0504 6.1007 1.3899 2.0504 -6.1007" Properties=species:S:1:pos:R:3 comment="KAlOs | Alexandria | GGA-PBE | optimized geometry" ef_kj_per_mol_atoms=36.4 polymorph_energy_mev_per_atom=0.0 rho_g_cm3=6.12 magmom_total_mub_per_cell=0.00 spacegroup="Imm2, No. 44" pbc="T T T"
K 0.0000 0.0000 0.0000
Al 0.0000 0.0000 3.2273
Os 0.0000 0.0000 8.8320

***

> Which formula does entry 7 have?

KAl3Os